Below is a geometry-optimized TlBH2 structure, with properties calculated at the GGA-PBE level.

Calculated density   8.170 g/cm³
Space-group type   Fm-3m (225)
Relative energy among the computed polymorphs   0.7540 eV/atom

Cell and atoms, written as extended XYZ:
```
4
Lattice="0.000 2.805 2.805 2.805 0.000 2.805 2.805 2.805 0.000" Properties=species:S:1:pos:R:3 pbc="T T T"
Tl 0.000 0.000 0.000
B 2.805 2.805 2.805
H 1.403 1.403 1.403
H 4.208 4.208 4.208
```